# Sm2Pd7Pb2

A relaxed Sm2Pd7Pb2 crystal (GGA-PBE, Alexandria).

Computed properties:
E_form ... -2.46 eV/f.u.
Energy ... -5.0603 eV per atom

Unit cell a=6.8426 b=6.8426 c=5.5203 alpha=90.00 beta=90.00 gamma=94.60
Fractional positions:
Sm 0.2123 0.2123 0.0000
Sm 0.7877 0.7877 0.0000
Pd 0.0000 0.0000 0.5000
Pd 0.0000 0.5000 0.2454
Pd 0.0000 0.5000 0.7546
Pd 0.5000 0.0000 0.2454
Pd 0.5000 0.0000 0.7546
Pd 0.5000 0.5000 0.2420
Pd 0.5000 0.5000 0.7580
Pb 0.2669 0.7331 0.5000
Pb 0.7331 0.2669 0.5000